# Ca2Ti9O13

Crystalline Ca2Ti9O13 at its relaxed geometry (PBE, Alexandria via LeMat-Bulk).

Properties
SG = No. 12
crystal system = monoclinic
VASP energy = -8.523 eV/atom
magnetization = 0.000 μB/f.u.

Geometry as POSCAR:
```
Ca2Ti9O13
1.0
-2.232 4.635 0.873
-4.460 2.565 0.868
-0.047 0.013 16.741
O Ti Ca
13 9 2
direct
0.633 0.633 0.681
0.288 0.288 0.912
0.579 0.579 0.858
0.377 0.377 0.627
0.000 0.000 0.000
0.367 0.367 0.319
0.859 0.859 0.455
0.623 0.623 0.373
0.901 0.901 0.770
0.099 0.099 0.230
0.421 0.421 0.142
0.141 0.141 0.545
0.712 0.712 0.088
0.659 0.659 0.964
0.500 0.500 0.500
0.000 0.000 0.657
0.933 0.933 0.884
0.067 0.067 0.116
0.000 0.000 0.343
0.341 0.341 0.036
0.779 0.779 0.579
0.221 0.221 0.421
0.222 0.222 0.772
0.778 0.778 0.228
```

# Ca4TiO6

Crystalline Ca4TiO6 at its relaxed geometry (PBE, Alexandria via LeMat-Bulk).

Properties
SG = No. 9
crystal system = monoclinic
VASP energy = -7.098 eV/atom
magnetization = 0.081 μB/f.u.

Geometry as POSCAR:
```
Ca4TiO6
1.0
-4.473 -2.222 3.237
-3.477 -4.631 -2.511
4.230 -9.423 4.849
O Ca Ti
12 8 2
direct
0.964 0.043 0.634
0.611 0.989 0.508
0.621 0.862 0.236
0.073 0.050 0.901
0.936 0.141 0.266
0.455 0.145 0.963
0.438 0.645 0.463
0.892 0.489 0.008
0.656 0.641 0.766
0.359 0.543 0.134
0.281 0.362 0.736
0.975 0.550 0.401
0.697 0.261 0.783
0.706 0.178 0.117
0.790 0.248 0.463
0.334 0.974 0.683
0.009 0.474 0.183
0.000 0.678 0.617
0.259 0.761 0.283
0.499 0.748 0.963
0.154 0.295 0.900
0.651 0.795 0.400
```